(1)
Compound: LaPm6Pr3Y2
Source: Alexandria
Functional: GGA-PBE
Structure: relaxed

```
LaPm6Pr3Y2
1.0
-5.795 -1.509 -2.099
2.667 -3.384 4.659
-3.811 8.991 7.268
La Pm Pr Y
1 6 3 2
direct
0.000 0.000 0.000
0.917 0.583 0.752
0.749 0.749 0.249
0.083 0.417 0.248
0.583 0.917 0.752
0.251 0.251 0.751
0.417 0.083 0.248
0.167 0.833 0.500
0.833 0.167 0.500
0.500 0.500 0.500
0.333 0.667 0.000
0.667 0.333 0.000
```

The formation energy comes out at 1.6 kJ/mol of atoms. The calculation puts the theoretical density at 6.393 Mg/m³. The calculation puts the density of states at the Fermi level at 1.5584 states/eV/atom. The value obtained for the size of the total moment is 0.0 μB per formula unit.

***

(2)
Compound: LaPmPr2Y5
Source: Alexandria
Functional: GGA-PBE
Structure: relaxed

```
LaPmPr2Y5
1.0
8.771 0.000 0.000
0.000 8.771 0.000
-4.386 -4.386 7.922
La Pm Pr Y
2 2 4 10
direct
0.250 0.750 0.500
0.750 0.250 0.500
0.250 0.250 0.500
0.750 0.750 0.500
0.118 0.382 0.000
0.618 0.118 0.000
0.382 0.882 0.000
0.882 0.618 0.000
0.930 0.430 0.275
0.655 0.155 0.725
0.070 0.570 0.725
0.155 0.070 0.725
0.570 0.655 0.725
0.845 0.930 0.275
0.430 0.345 0.275
0.345 0.845 0.275
0.500 0.500 0.000
0.000 0.000 0.000
```

The formation energy comes out at 21.7 kJ/mol of atoms. The calculation puts the theoretical density at 5.505 Mg/m³. The calculation puts the density of states at the Fermi level at 1.0757 states/eV/atom. The value obtained for the size of the total moment is 0.0 μB per formula unit.

***

Question: Which value of size of the total moment does entry 1 give?
Answer: 0.0 μB per formula unit

***

Question: size of the total moment of number 2 (LaPmPr2Y5)?
Answer: 0.0 μB per formula unit

***

Question: Which of these has the highest density of states at the Fermi level?
Answer: LaPm6Pr3Y2